No. 1
DFT (PBE) results for a geometry-optimized CaOsO3 structure.

Unit cell a=5.886 b=5.886 c=6.368 alpha=99.36 beta=99.36 gamma=37.78
Fractional positions:
Ca1 0.132 0.132 0.375
Ca2 0.868 0.868 0.625
Os1 0.368 0.368 0.085
Os2 0.632 0.632 0.915
O1 0.177 0.177 0.962
O2 0.332 0.332 0.382
O3 0.450 0.450 0.818
O4 0.550 0.550 0.182
O5 0.668 0.668 0.618
O6 0.823 0.823 0.038

Properties
volume	67	Å³/f.u.
E_form (uncorrected)	-1567	meV per atom
space group	C2/m (12)
raw total energy	-71.89	eV/cell

No. 2
DFT (PBE) results for a geometry-optimized Pr2MgSc structure.

Unit cell a=6.047 b=3.500 c=11.646 alpha=90.00 beta=99.82 gamma=90.00
Fractional positions:
Pr1 0.000 0.000 0.000
Pr2 0.173 0.000 0.515
Pr3 0.500 0.500 0.000
Pr4 0.673 0.500 0.515
Mg1 0.253 0.500 0.258
Mg2 0.753 0.000 0.258
Sc1 0.086 0.500 0.757
Sc2 0.586 0.000 0.757

Properties
volume	121	Å³/f.u.
energy of formation	74.1	meV/atom
E above lowest polymorph	0.323	eV per formula unit
space group	Cm (8)
raw total energy	-34.38	eV/cell

No. 3
DFT (PBE) results for a geometry-optimized TbSmTiIn structure.

Unit cell a=7.508 b=7.508 c=7.508 alpha=90.00 beta=90.00 gamma=90.00
Fractional positions:
Tb1 0.000 0.000 0.000
Tb2 0.000 0.500 0.500
Tb3 0.500 0.000 0.500
Tb4 0.500 0.500 0.000
Sm1 0.000 0.000 0.500
Sm2 0.000 0.500 0.000
Sm3 0.500 0.000 0.000
Sm4 0.500 0.500 0.500
Ti1 0.250 0.250 0.750
Ti2 0.250 0.750 0.250
Ti3 0.750 0.250 0.250
Ti4 0.750 0.750 0.750
In1 0.250 0.250 0.250
In2 0.250 0.750 0.750
In3 0.750 0.250 0.750
In4 0.750 0.750 0.250

Properties
volume	106	Å³/f.u.
energy of formation	-78.4	meV/atom
space group	F-43m (216)
raw total energy	-81.19	eV/cell

No. 4
DFT (PBE) results for a geometry-optimized Pr2DyGa3 structure.

Unit cell a=10.837 b=10.837 c=6.312 alpha=90.00 beta=90.00 gamma=154.64
Fractional positions:
Pr1 0.035 0.965 0.750
Pr2 0.148 0.852 0.250
Pr3 0.852 0.148 0.750
Pr4 0.965 0.035 0.250
Dy1 0.325 0.675 0.250
Dy2 0.675 0.325 0.750
Ga1 0.255 0.745 0.750
Ga2 0.437 0.563 0.548
Ga3 0.437 0.563 0.952
Ga4 0.563 0.437 0.048
Ga5 0.563 0.437 0.452
Ga6 0.745 0.255 0.250

Properties
volume	159	Å³/f.u.
energy of formation	-469.1	meV/atom
E above lowest polymorph	0.488	eV per formula unit
space group	Cmcm (63)
raw total energy	-52.11	eV/cell

No. 5
DFT (PBE) results for a geometry-optimized Tc2HgSb structure.

Unit cell a=4.609 b=4.609 c=3.260 alpha=90.00 beta=90.00 gamma=90.00
Fractional positions:
Tc1 0.000 0.500 0.000
Tc2 0.500 0.000 0.000
Hg1 0.000 0.000 0.500
Sb1 0.500 0.500 0.500

Properties
volume	69	Å³/f.u.
E_form (uncorrected)	496	meV per atom
E above lowest polymorph	1.265	eV per formula unit
space group	P4/mmm (123)
raw total energy	-23.17	eV/cell

No. 6
DFT (PBE) results for a geometry-optimized PaH2Pb structure.

Unit cell a=3.579 b=6.292 c=5.612 alpha=90.00 beta=90.00 gamma=90.00
Fractional positions:
Pa1 0.250 0.250 0.097
Pa2 0.750 0.750 0.903
H1 0.250 0.546 0.891
H2 0.250 0.954 0.891
H3 0.750 0.046 0.109
H4 0.750 0.454 0.109
Pb1 0.250 0.750 0.405
Pb2 0.750 0.250 0.595

Properties
volume	63	Å³/f.u.
E above lowest polymorph	0.000	eV per formula unit
space group	Pmmn (59)
raw total energy	-41.71	eV/cell